Below is a crystal of MgCo2Re relaxed with PBEsol, with properties calculated at the SCAN level. Values from VASP.

```
&SYSTEM
  ibrav = 0, nat = 4, ntyp = 3
/
ATOMIC_SPECIES
Co 58.93 Co.upf
Re 186.21 Re.upf
Mg 24.30 Mg.upf
ATOMIC_POSITIONS crystal
Co 0.0000 0.0000 0.2646
Co 0.0000 0.0000 0.7354
Re 0.5000 0.5000 0.5000
Mg 0.5000 0.5000 0.0000
CELL_PARAMETERS angstrom
2.6971 0.0000 0.0000
0.0000 2.6971 0.0000
0.0000 0.0000 6.9684
```

* DFT formation energy: 16.28 kJ/mol of atoms
* symmetry: No. 123



Below is a crystal of MgCo2Re relaxed with PBEsol, with properties calculated at the SCAN level. Values from VASP.

```
&SYSTEM
  ibrav = 0, nat = 4, ntyp = 3
/
ATOMIC_SPECIES
Mg 24.30 Mg.upf
Co 58.93 Co.upf
Re 186.21 Re.upf
ATOMIC_POSITIONS crystal
Mg 0.5000 0.5000 0.0000
Co 0.0000 0.0000 0.0000
Re 0.0000 0.5000 0.5000
Co 0.5000 0.0000 0.5000
CELL_PARAMETERS angstrom
2.7229 0.0000 0.0000
0.0000 4.2437 0.0000
0.0000 0.0000 4.4392
```

* DFT formation energy: 40.57 kJ/mol of atoms
* symmetry: No. 47



Below is a crystal of MgCoReRu2 relaxed with PBEsol, with properties calculated at the SCAN level. Values from VASP.

```
&SYSTEM
  ibrav = 0, nat = 5, ntyp = 4
/
ATOMIC_SPECIES
Mg 24.30 Mg.upf
Re 186.21 Re.upf
Ru 101.07 Ru.upf
Co 58.93 Co.upf
ATOMIC_POSITIONS crystal
Mg 0.0000 0.0000 0.0000
Re 0.5000 0.5000 0.5000
Ru 0.0000 0.0000 0.5000
Ru 0.0000 0.5000 0.0000
Co 0.5000 0.0000 0.0000
CELL_PARAMETERS angstrom
4.0298 0.0000 0.0000
0.0000 4.2954 0.0000
0.0000 0.0000 4.2954
```

* DFT formation energy: 189.14 kJ/mol of atoms
* symmetry: No. 123



Below is a crystal of MgCoRh relaxed with PBEsol, with properties calculated at the SCAN level. Values from VASP.

```
&SYSTEM
  ibrav = 0, nat = 3, ntyp = 3
/
ATOMIC_SPECIES
Mg 24.30 Mg.upf
Co 58.93 Co.upf
Rh 102.91 Rh.upf
ATOMIC_POSITIONS crystal
Mg 0.0000 0.0000 0.0000
Co 0.7500 0.7500 0.7500
Rh 0.5000 0.5000 0.5000
CELL_PARAMETERS angstrom
-1.2543 -3.8251 -0.0690
2.5015 -2.9588 1.0943
-0.6122 -1.9803 3.4515
```

* DFT formation energy: 13.83 kJ/mol of atoms
* symmetry: No. 216



Below is a crystal of SrMgCo2Rh relaxed with PBEsol, with properties calculated at the SCAN level. Values from VASP.

```
&SYSTEM
  ibrav = 0, nat = 5, ntyp = 4
/
ATOMIC_SPECIES
Co 58.93 Co.upf
Sr 87.62 Sr.upf
Mg 24.30 Mg.upf
Rh 102.91 Rh.upf
ATOMIC_POSITIONS crystal
Co 0.0000 0.5000 0.0000
Co 0.5000 0.0000 0.0000
Sr 0.0000 0.0000 0.0000
Mg 0.5000 0.5000 0.5000
Rh 0.0000 0.0000 0.5000
CELL_PARAMETERS angstrom
4.6155 0.0000 0.0000
0.0000 4.6155 0.0000
0.0000 0.0000 4.8963
```

* DFT formation energy: 167.06 kJ/mol of atoms
* symmetry: No. 123



Below is a crystal of MgCo4Ru relaxed with PBEsol, with properties calculated at the SCAN level. Values from VASP.

```
&SYSTEM
  ibrav = 0, nat = 6, ntyp = 3
/
ATOMIC_SPECIES
Co 58.93 Co.upf
Mg 24.30 Mg.upf
Ru 101.07 Ru.upf
ATOMIC_POSITIONS crystal
Co 0.3751 0.3751 0.8748
Co 0.3751 0.8748 0.3751
Co 0.8748 0.3751 0.3751
Co 0.3751 0.3751 0.3751
Mg 0.7500 0.7500 0.7500
Ru 0.0000 0.0000 0.0000
CELL_PARAMETERS angstrom
-2.9961 2.4357 -2.6421
0.6932 0.3408 -4.6144
-2.8511 -2.2295 -2.9649
```

* DFT formation energy: 6.64 kJ/mol of atoms
* symmetry: No. 216



Below is a crystal of Mg2CoRu relaxed with PBEsol, with properties calculated at the SCAN level. Values from VASP.

```
&SYSTEM
  ibrav = 0, nat = 4, ntyp = 3
/
ATOMIC_SPECIES
Mg 24.30 Mg.upf
Ru 101.07 Ru.upf
Co 58.93 Co.upf
ATOMIC_POSITIONS crystal
Mg 0.5000 0.5000 0.2890
Ru 0.0000 0.0000 0.5390
Co 0.5000 0.5000 0.7207
Mg 0.0000 0.0000 0.9513
CELL_PARAMETERS angstrom
-2.0941 -1.7797 0.3981
1.8195 -2.0797 0.2736
0.3515 1.3374 7.8279
```

* DFT formation energy: 11.44 kJ/mol of atoms
* symmetry: No. 99



Below is a crystal of MgCo3S relaxed with PBEsol, with properties calculated at the SCAN level. Values from VASP.

```
&SYSTEM
  ibrav = 0, nat = 5, ntyp = 3
/
ATOMIC_SPECIES
Co 58.93 Co.upf
S 32.06 S.upf
Mg 24.30 Mg.upf
ATOMIC_POSITIONS crystal
Co 0.0000 0.0000 0.5000
Co 0.0000 0.5000 0.0000
S 0.0000 0.0000 0.0000
Co 0.5000 0.0000 0.0000
Mg 0.5000 0.5000 0.5000
CELL_PARAMETERS angstrom
-3.0591 -1.7064 2.0659
2.4539 -0.5249 3.2001
-1.0762 3.6539 1.4245
```

* symmetry: No. 221
* VASP energy: -13.2332 eV/atom